This record from Alexandria describes a relaxed structure of Tm3In2Cu. The functional is PBE.

Output
Energy of formation, meV/atom: -394.9
Energy, eV per cell: -25.4
Crystal system: tetragonal

Lattice parameters (Å, degrees): 3.4658 3.4658 11.8889 90.00 90.00 90.00
Space group P4/mmm (No. 123)
One atom of each set of equivalent atoms:
Tm  0.0000  0.0000  0.0000 x1
Tm  0.0000  0.0000  0.3583 x2
In  0.5000  0.5000  0.1789 x2
Cu  0.5000  0.5000  0.5000 x1